Below is a relaxed structure of NpTlCoF6, with properties calculated at the GGA+U level.

a b c (Å): 7.9101 7.4378 7.5288
angles (deg): 119.60 121.69 90.00
Each line ends with the local moment (μB).
Element x y z (fractional)
Np: 0.5000 0.0000 0.5000  3.95
Np: 0.0000 0.0000 0.5000  3.95
Tl: 0.8274 0.5774 0.6548  0.00
Tl: 0.1726 0.4226 0.3452  0.00
Co: 0.5000 0.5000 0.0000  2.77
Co: 0.5000 0.0000 0.0000  2.77
F: 0.5924 0.8424 0.1848  0.04
F: 0.8674 0.1174 0.7349  -0.02
F: 0.8209 0.1572 0.2684  0.03
F: 0.4475 0.6112 0.2684  0.03
F: 0.4475 0.1572 0.2684  0.03
F: 0.8209 0.6112 0.2684  0.03
F: 0.4076 0.1576 0.8152  0.04
F: 0.1326 0.8826 0.2651  -0.02
F: 0.1791 0.8428 0.7316  0.03
F: 0.5525 0.3888 0.7316  0.03
F: 0.5525 0.8428 0.7316  0.03
F: 0.1791 0.3888 0.7316  0.03

calculated total energy = -110.1 eV for the cell shown
crystal system = orthorhombic